# PBE+U YNiP2O, optimized geometry
# E_tot ... -26.5 eV for the cell shown
# Energy above the most stable polymorph in this dataset ... 0 meV per atom
data_YNiP2O
_chemical_formula_sum 'Y1 Ni1 P2 O1'
_space_group_name_H-M_alt 'P 4/m m m'
_space_group_IT_number 123
_space_group_name_Hall '-P 4 2'
_cell_length_a 4.541
_cell_length_b 4.541
_cell_length_c 3.847
_cell_angle_alpha 90.00
_cell_angle_beta 90.00
_cell_angle_gamma 90.00
loop_
_atom_site_label
_atom_site_fract_x
_atom_site_fract_y
_atom_site_fract_z
Y1 0.000 0.000 0.000
Ni1 0.500 0.500 0.500
P1 0.000 0.500 0.500
O1 0.500 0.500 0.000